Entry from Alexandria via LeMat-Bulk: a relaxed CoSb3O crystal (PBE with a Hubbard U).

Output
Total DFT energy (no corrections) ... -3.923 eV per atom
Fermi-level density of states ... 3.2 states/eV/f.u.
Energy above the lowest structure with this stoichiometry ... 0.000 eV per atom
Calculated volume ... 101.0 Å³/cell

a b c (Å): 4.658 4.658 4.658
angles (deg): 90.00 90.00 90.00
Sites, in units of the cell vectors:
O (0.000, 0.000, 0.000)
Co (0.500, 0.500, 0.500)
Sb (0.000, 0.500, 0.000)
Sb (0.000, 0.000, 0.500)
Sb (0.500, 0.000, 0.000)